[1]
Ac2TiAgO6 | PBE | optimized geometry

E_form (uncorrected): -247.5 kJ/mol of atoms
SG: No. 99
DOS(E_F): 1.9 states/eV/cell
E: -74.4 eV per cell

Unit cell a=5.852 b=5.852 c=4.330 alpha=90.00 beta=90.00 gamma=90.00
Fractional coordinates of all 10 atoms:
1 Ac 0.000 0.500 0.000
2 Ac 0.500 0.000 0.000
3 Ti 0.000 0.000 0.561
4 Ag 0.500 0.500 0.576
5 O 0.000 0.000 0.142
6 O 0.228 0.228 0.661
7 O 0.228 0.772 0.661
8 O 0.500 0.500 0.088
9 O 0.772 0.228 0.661
10 O 0.772 0.772 0.661

[2]
AlAg3Pd6 | PBE | optimized geometry

E above lowest polymorph: 1.33 eV per formula unit
SG: No. 162
DOS(E_F): 3.1 states/eV/cell
E: -44.8 eV per cell

Unit cell a=5.182 b=5.182 c=7.170 alpha=90.00 beta=90.00 gamma=120.00
Fractional coordinates of all 10 atoms:
1 Al 0.000 0.000 0.000
2 Ag 0.000 0.000 0.500
3 Ag 0.333 0.667 0.500
4 Ag 0.667 0.333 0.500
5 Pd 0.000 0.384 0.820
6 Pd 0.000 0.616 0.180
7 Pd 0.384 0.000 0.820
8 Pd 0.384 0.384 0.180
9 Pd 0.616 0.000 0.180
10 Pd 0.616 0.616 0.820

[3]
NaHf2AgCl | PBE | optimized geometry

E_form (uncorrected): 99.3 kJ/mol of atoms
SG: No. 123
DOS(E_F): 7.1 states/eV/cell
E: -20.8 eV per cell

Unit cell a=5.152 b=5.152 c=6.023 alpha=90.00 beta=90.00 gamma=90.00
Fractional coordinates of all 5 atoms:
1 Na 0.000 0.000 0.000
2 Hf 0.000 0.500 0.500
3 Hf 0.500 0.000 0.500
4 Ag 0.500 0.500 0.500
5 Cl 0.500 0.500 0.000

[4]
ZnInPbO4 | PBE | optimized geometry

E_form (uncorrected): -114.5 kJ/mol of atoms
SG: No. 74
DOS(E_F): 5.7 states/eV/cell
E: -71.7 eV per cell

Unit cell a=6.590 b=6.590 c=6.590 alpha=120.13 beta=119.92 gamma=89.95
Fractional coordinates of all 14 atoms:
1 Zn 0.371 0.121 0.250
2 Zn 0.629 0.879 0.750
3 In 0.000 0.000 0.500
4 In 0.000 0.500 0.000
5 Pb 0.000 0.500 0.500
6 Pb 0.500 0.500 0.000
7 O 0.231 0.248 0.983
8 O 0.235 0.752 0.483
9 O 0.239 0.237 0.497
10 O 0.239 0.742 0.003
11 O 0.761 0.258 0.997
12 O 0.761 0.763 0.503
13 O 0.765 0.248 0.517
14 O 0.769 0.752 0.017

[5]
CrAs2 | PBE | optimized geometry

SG: No. 140
DOS(E_F): 3.4 states/eV/cell
E: -38.1 eV per cell

Unit cell a=4.969 b=4.969 c=4.969 alpha=107.74 beta=107.74 gamma=112.99
Fractional coordinates of all 6 atoms:
1 Cr 0.250 0.250 0.000
2 Cr 0.750 0.750 0.000
3 As 0.152 0.652 0.804
4 As 0.348 0.152 0.500
5 As 0.652 0.848 0.500
6 As 0.848 0.348 0.196

[6]
Cu3Pt | PBE | optimized geometry

SG: No. 47
DOS(E_F): 1.8 states/eV/cell
E: -18.8 eV per cell

Unit cell a=2.720 b=3.611 c=5.292 alpha=90.00 beta=90.00 gamma=90.00
Fractional coordinates of all 4 atoms:
1 Cu 0.000 0.000 0.000
2 Cu 0.500 0.500 0.239
3 Cu 0.500 0.500 0.761
4 Pt 0.000 0.000 0.500

[7]
Sm2MnSiRh6 | PBE | optimized geometry

E_form (uncorrected): -35.0 kJ/mol of atoms
SG: No. 2
DOS(E_F): 7.0 states/eV/cell
E: -71.8 eV per cell

Unit cell a=6.093 b=6.110 c=6.558 alpha=66.09 beta=65.80 gamma=61.34
Fractional coordinates of all 10 atoms:
1 Sm 0.242 0.243 0.312
2 Sm 0.758 0.757 0.688
3 Mn 0.500 0.500 0.500
4 Si 0.000 0.000 0.000
5 Rh 0.219 0.652 0.848
6 Rh 0.243 0.240 0.774
7 Rh 0.345 0.779 0.155
8 Rh 0.655 0.221 0.845
9 Rh 0.757 0.760 0.226
10 Rh 0.781 0.348 0.152

[8]
Tb2NdThSc4 | PBE | optimized geometry

SG: No. 123
DOS(E_F): 10.6 states/eV/cell
E: -46.5 eV per cell

Unit cell a=5.012 b=5.012 c=9.047 alpha=90.00 beta=90.00 gamma=90.00
Fractional coordinates of all 8 atoms:
1 Tb 0.000 0.000 0.000
2 Tb 0.500 0.500 0.500
3 Nd 0.000 0.000 0.500
4 Th 0.500 0.500 0.000
5 Sc 0.000 0.500 0.246
6 Sc 0.000 0.500 0.754
7 Sc 0.500 0.000 0.246
8 Sc 0.500 0.000 0.754

[9]
BaCd12Ga6 | PBE | optimized geometry

SG: No. 166
DOS(E_F): 9.7 states/eV/cell
E: -31.0 eV per cell

Unit cell a=8.117 b=8.117 c=8.117 alpha=105.47 beta=105.47 gamma=105.47
Fractional coordinates of all 19 atoms:
1 Ba 0.000 0.000 0.000
2 Cd 0.113 0.500 0.887
3 Cd 0.113 0.887 0.500
4 Cd 0.161 0.407 0.407
5 Cd 0.407 0.161 0.407
6 Cd 0.407 0.407 0.161
7 Cd 0.500 0.113 0.887
8 Cd 0.500 0.887 0.113
9 Cd 0.593 0.593 0.839
10 Cd 0.593 0.839 0.593
11 Cd 0.839 0.593 0.593
12 Cd 0.887 0.113 0.500
13 Cd 0.887 0.500 0.113
14 Ga 0.275 0.275 0.721
15 Ga 0.275 0.721 0.275
16 Ga 0.279 0.725 0.725
17 Ga 0.721 0.275 0.275
18 Ga 0.725 0.279 0.725
19 Ga 0.725 0.725 0.279

[10]
BeGaFePd | PBE | optimized geometry

SG: No. 216
DOS(E_F): 1.7 states/eV/cell
E: -21.3 eV per cell

Unit cell a=4.068 b=4.068 c=4.068 alpha=60.00 beta=60.00 gamma=60.00
Fractional coordinates of all 4 atoms:
1 Be 0.000 0.000 0.000
2 Ga 0.500 0.500 0.500
3 Fe 0.750 0.750 0.750
4 Pd 0.250 0.250 0.250

[11]
PmMgAl2Zn4 | PBE | optimized geometry

SG: No. 166
DOS(E_F): 3.4 states/eV/cell
E: -20.4 eV per cell

Unit cell a=9.073 b=9.073 c=9.073 alpha=28.27 beta=28.27 gamma=28.27
Fractional coordinates of all 8 atoms:
1 Pm 0.000 0.000 0.000
2 Mg 0.500 0.500 0.500
3 Al 0.244 0.244 0.244
4 Al 0.756 0.756 0.756
5 Zn 0.125 0.125 0.125
6 Zn 0.395 0.395 0.395
7 Zn 0.605 0.605 0.605
8 Zn 0.875 0.875 0.875

[12]
KZrCr2 | PBE | optimized geometry

E above lowest polymorph: 2.85 eV per formula unit
SG: No. 71
DOS(E_F): 5.6 states/eV/cell
E: -23.7 eV per cell

Unit cell a=6.171 b=6.171 c=6.171 alpha=150.18 beta=123.05 gamma=65.61
Fractional coordinates of all 4 atoms:
1 K 0.000 0.000 0.000
2 Zr 0.500 0.500 0.000
3 Cr 0.280 0.780 0.500
4 Cr 0.720 0.220 0.500

[13]
KSb2TeIr | PBE | optimized geometry

E_form (uncorrected): 200.8 kJ/mol of atoms
E above lowest polymorph: 10.15 eV per formula unit
SG: No. 123
DOS(E_F): 7.4 states/eV/cell
E: -10.9 eV per cell

Unit cell a=5.675 b=5.675 c=5.689 alpha=90.00 beta=90.00 gamma=90.00
Fractional coordinates of all 5 atoms:
1 K 0.000 0.000 0.000
2 Sb 0.000 0.500 0.000
3 Sb 0.500 0.000 0.000
4 Te 0.000 0.000 0.500
5 Ir 0.500 0.500 0.500

[14]
MgReTe4 | PBE | optimized geometry

E_form (uncorrected): 115.4 kJ/mol of atoms
SG: No. 216
DOS(E_F): 3.4 states/eV/cell
E: -19.4 eV per cell

Unit cell a=6.314 b=6.314 c=6.314 alpha=60.00 beta=60.00 gamma=60.00
Fractional coordinates of all 6 atoms:
1 Mg 0.000 0.000 0.000
2 Re 0.750 0.750 0.750
3 Te 0.375 0.375 0.375
4 Te 0.375 0.375 0.874
5 Te 0.375 0.874 0.375
6 Te 0.874 0.375 0.375

[15]
LiSi2Te4 | PBE | optimized geometry

E_form (uncorrected): -18.0 kJ/mol of atoms
SG: No. 87
DOS(E_F): 2.7 states/eV/cell
E: -26.6 eV per cell

Unit cell a=6.701 b=6.701 c=6.701 alpha=104.03 beta=104.03 gamma=121.01
Fractional coordinates of all 7 atoms:
1 Li 0.000 0.000 0.000
2 Si 0.250 0.750 0.500
3 Si 0.750 0.250 0.500
4 Te 0.167 0.680 0.846
5 Te 0.320 0.167 0.487
6 Te 0.680 0.833 0.513
7 Te 0.833 0.320 0.154

[16]
DyNpGe2 | PBE | optimized geometry

E above lowest polymorph: 0.00 eV per formula unit
SG: No. 123
DOS(E_F): 6.6 states/eV/cell
E: -28.3 eV per cell

Unit cell a=3.287 b=3.287 c=8.106 alpha=90.00 beta=90.00 gamma=90.00
Fractional coordinates of all 4 atoms:
1 Dy 0.000 0.000 0.000
2 Np 0.000 0.000 0.500
3 Ge 0.500 0.500 0.251
4 Ge 0.500 0.500 0.749